# PBE Cs2BaGaAs2, optimized geometry
# Formation energy from the elements, meV per atom: -561
# Theoretical density, g cm⁻³: 4.70
data_Cs2BaGaAs2
_space_group_name_H-M_alt 'P m c 21'
_space_group_IT_number 26
_cell_length_a 4.647
_cell_length_b 9.993
_cell_length_c 9.471
_cell_angle_alpha 90.00
_cell_angle_beta 90.00
_cell_angle_gamma 90.00
loop_
_space_group_symop_operation_xyz
'x,y,z'
'-x,-y,z+1/2'
'-x,y,z'
'x,-y,z+1/2'
loop_
_atom_site_label
_atom_site_fract_x
_atom_site_fract_y
_atom_site_fract_z
_atom_site_occupancy
Cs1 0.000 0.103 0.000 1
Cs2 0.500 0.176 0.338 1
Ba1 0.500 0.473 0.946 1
Ga1 0.000 0.332 0.659 1
As1 0.000 0.421 0.209 1
As2 0.500 0.209 0.714 1